First-principles (GGA-PBE) data for a relaxed Li2ErIn3 crystal, as listed in Alexandria via LeMat-Bulk.

Computed properties:
- Offset from the most stable computed form: 0.000 eV per atom
- ΔH_f (0 K): -340 meV/atom

Cell: 3.497 3.497 10.581 Å, 90.00 90.00 90.00°
Space group P4/mmm (No. 123)
Unique sites:
Li1 0.000 0.000 0.152
Er1 0.000 0.000 0.500
In1 0.500 0.500 0.000
In2 0.500 0.500 0.301